No. 1
First-principles (PBE-GGA) data for SnSbCl6 after structural relaxation, as listed in Alexandria.

Computed properties:
Total magnetic moment ... 0.00 μB/cell
Theoretical density ... 3.11 Mg/m³
Density of states at the Fermi level ... 3.80 states/eV/f.u.
Formation energy without anion corrections ... -0.81 eV per atom

The structure in POSCAR format:
```
SnSbCl6
1.0
6.755 0.009 0.009
3.370 5.854 0.013
3.368 1.947 6.128
Cl Sn Sb
6 1 1
direct
0.108 0.392 0.750
0.750 0.108 0.750
0.892 0.608 0.250
0.608 0.250 0.250
0.392 0.750 0.750
0.250 0.892 0.250
0.500 0.500 0.500
0.000 0.000 0.000
```

=====

No. 2
First-principles (PBE-GGA) data for CaHf3Au after structural relaxation, as listed in Alexandria.

Computed properties:
Total magnetic moment ... 0.00 μB/cell
Theoretical density ... 10.41 Mg/m³
Density of states at the Fermi level ... 6.32 states/eV/f.u.
DFT formation energy ... 1.766 eV per atom

The structure in POSCAR format:
```
CaHf3Au
1.0
-1.648 4.575 -1.057
-2.937 -1.879 -3.551
-3.664 -0.552 3.322
Hf Au Ca
3 1 1
direct
0.000 0.000 0.500
0.000 0.500 0.000
0.500 0.000 0.000
0.500 0.500 0.500
0.000 0.000 0.000
```